[1]
This record from Alexandria describes a relaxed structure of BeIn. The functional is PBE.

Cell and atoms, written as CIF:
```
data_BeIn
_chemical_formula_sum 'Be8 In8'
_cell_length_a 7.8013
_cell_length_b 7.8013
_cell_length_c 7.8013
_cell_angle_alpha 90.00
_cell_angle_beta 90.00
_cell_angle_gamma 90.00
_symmetry_space_group_name_H-M 'P 1'
_symmetry_Int_Tables_number 1
_symmetry_space_group_name_Hall 'P 1'
loop_
_atom_site_label
_atom_site_fract_x
_atom_site_fract_y
_atom_site_fract_z
Be1 0.8182 0.1818 0.8182
Be2 0.1818 0.8182 0.8182
In1 0.1419 0.1419 0.8581
Be3 0.1818 0.1818 0.1818
In2 0.3581 0.6419 0.6419
Be4 0.6818 0.6818 0.6818
In3 0.8581 0.1419 0.1419
In4 0.6419 0.3581 0.6419
Be5 0.8182 0.8182 0.1818
In5 0.6419 0.6419 0.3581
Be6 0.6818 0.3182 0.3182
In6 0.1419 0.8581 0.1419
Be7 0.3182 0.3182 0.6818
Be8 0.3182 0.6818 0.3182
In7 0.3581 0.3581 0.3581
In8 0.8581 0.8581 0.8581
```

## Properties
- energy above the lowest structure with this stoichiometry (meV per atom) = 598
- calculated total energy (eV per atom) = -2.349
- formation enthalpy at 0 K (eV/atom) = 0.88
- volume (Å³ per cell) = 475


[2]
This record from Alexandria describes a relaxed structure of CdIn4Hg4. The functional is PBE.

Cell and atoms, written as CIF:
```
data_CdIn4Hg4
_chemical_formula_sum 'Cd1 In4 Hg4'
_cell_length_a 7.9593
_cell_length_b 7.9593
_cell_length_c 7.0402
_cell_angle_alpha 124.42
_cell_angle_beta 124.42
_cell_angle_gamma 90.00
_symmetry_space_group_name_H-M 'P 1'
_symmetry_Int_Tables_number 1
_symmetry_space_group_name_Hall 'P 1'
loop_
_atom_site_label
_atom_site_fract_x
_atom_site_fract_y
_atom_site_fract_z
In1 0.4136 0.9295 0.3431
Cd1 0.0000 0.0000 0.0000
Hg1 0.0000 0.5000 0.0000
In2 0.0705 0.0705 0.6569
In3 0.5864 0.5864 0.6569
In4 0.9295 0.4136 0.3431
Hg2 0.3355 0.3355 0.6709
Hg3 0.5000 0.0000 0.0000
Hg4 0.6645 0.6645 0.3291
```

## Properties
- energy above the lowest structure with this stoichiometry (meV per atom) = 93
- calculated total energy (eV per atom) = -1.340
- formation enthalpy at 0 K (eV/atom) = 0.11
- volume (Å³ per cell) = 268